No. 1
Li2CdOs: relaxed, PBE-GGA.

The calculation puts the formation energy at 692 meV per atom. Its total energy is -3.301 eV per atom.

It has space group I-42d (No. 122), with a = 6.925 Å, b = 6.925 Å, c = 5.393 Å, α = 90.00°, β = 90.00° and γ = 90.00°. The asymmetric unit holds Li at (0.245, 0.750, 0.125), Cd at (0.000, 0.000, 0.500) and Os at (0.000, 0.000, 0.000).


No. 2
Dy6AsP4: relaxed, PBE-GGA.

The calculation puts the formation energy at -1464 meV per atom. Its total energy is -6.364 eV per atom.

It has space group Cmcm (No. 63), with a = 3.997 Å, b = 13.146 Å, c = 20.036 Å, α = 90.00°, β = 90.00° and γ = 90.00°. The asymmetric unit holds Dy at (0.000, 0.000, 0.000), Dy at (0.000, 0.180, 0.250), Dy at (0.000, 0.274, 0.582), Dy at (0.000, 0.457, 0.162), As at (0.000, 0.162, 0.750), P at (0.000, 0.092, 0.127) and P at (0.000, 0.363, 0.043).


No. 3
Tl2CuPtO4: relaxed, PBE-GGA.

The value obtained for the uncorrected formation energy is -3.6 eV per formula unit. Its total energy is -4.790 eV per atom.

It has space group Fddd (No. 70, origin choice 2), with a = 5.862 Å, b = 11.690 Å, c = 19.349 Å, α = 90.00°, β = 90.00° and γ = 90.00°. The asymmetric unit holds Tl at (0.125, 0.125, 0.297), Cu at (0.125, 0.125, 0.625), Pt at (0.125, 0.125, 0.125) and O at (0.109, 0.370, 0.940).